Entry from the Alexandria database: PuSiRu after structural relaxation (PBE).

The volume comes out at 224.1 Å³/cell. For the spin magnetization, the calculation gives 5.2 μB per formula unit. The calculation puts the uncorrected energy at -121.22 eV for the cell shown. The calculation puts the formation energy without anion corrections at -425 meV per atom.

It has space group P2_1/c (No. 14), with a = 5.770 Å, b = 5.957 Å, c = 7.278 Å, α = 90.00°, β = 116.39° and γ = 90.00°. The distinct sites, in fractional coordinates, are Pu at (0.213, 0.114, 0.385), Si at (0.375, 0.582, 0.308) and Ru at (0.224, 0.620, 0.567).

=====

Entry from the Alexandria database: Pu2Si2SnRu5 after structural relaxation (PBE).

The volume comes out at 335.3 Å³/cell. For the spin magnetization, the calculation gives 8.9 μB per formula unit. The calculation puts the uncorrected energy at -188.63 eV for the cell shown. The calculation puts the formation energy without anion corrections at -442 meV per atom.

It has space group P4/mbm (No. 127), with a = 10.095 Å, b = 10.095 Å, c = 3.290 Å, α = 90.00°, β = 90.00° and γ = 90.00°. The distinct sites, in fractional coordinates, are Pu at (0.174, 0.326, 0.000), Si at (0.124, 0.624, 0.000), Sn at (0.000, 0.000, 0.000), Ru at (0.000, 0.500, 0.500) and Ru at (0.067, 0.787, 0.500).

=====

Entry from the Alexandria database: Pu2Si6TcRu after structural relaxation (PBE).

The volume comes out at 782.4 Å³/cell. For the spin magnetization, the calculation gives 11.5 μB per formula unit. The calculation puts the uncorrected energy at -320.69 eV for the cell shown. The calculation puts the formation energy without anion corrections at 67 meV per atom.

It has space group Fm-3m (No. 225), with a = 9.214 Å, b = 9.214 Å, c = 9.214 Å, α = 90.00°, β = 90.00° and γ = 90.00°. The distinct sites, in fractional coordinates, are Pu at (0.250, 0.250, 0.250), Si at (0.000, 0.000, 0.249), Tc at (0.000, 0.000, 0.500) and Ru at (0.000, 0.000, 0.000).

=====

Entry from the Alexandria database: PuSiTcRu after structural relaxation (PBE).

The volume comes out at 255.6 Å³/cell. For the spin magnetization, the calculation gives 3.6 μB per formula unit. The calculation puts the uncorrected energy at -162.41 eV for the cell shown. The calculation puts the formation energy without anion corrections at -301 meV per atom.

It has space group F-43m (No. 216), with a = 6.346 Å, b = 6.346 Å, c = 6.346 Å, α = 90.00°, β = 90.00° and γ = 90.00°. The distinct sites, in fractional coordinates, are Pu at (0.000, 0.000, 0.000), Si at (0.000, 0.000, 0.500), Tc at (0.250, 0.250, 0.750) and Ru at (0.250, 0.250, 0.250).

=====

Entry from the Alexandria database: PuSi2TcRu after structural relaxation (PBE).

The volume comes out at 170.4 Å³/cell. For the spin magnetization, the calculation gives 5.0 μB per formula unit. The calculation puts the uncorrected energy at -95.38 eV for the cell shown. The calculation puts the formation energy without anion corrections at -575 meV per atom.

It has space group I-4m2 (No. 119), with a = 4.168 Å, b = 4.168 Å, c = 9.808 Å, α = 90.00°, β = 90.00° and γ = 90.00°. The distinct sites, in fractional coordinates, are Pu at (0.000, 0.000, 0.000), Si at (0.000, 0.000, 0.373), Tc at (0.000, 0.500, 0.750) and Ru at (0.000, 0.500, 0.250).

=====

Entry from the Alexandria database: Pu2USi2Ru5 after structural relaxation (PBE).

The volume comes out at 341.6 Å³/cell. For the spin magnetization, the calculation gives 10.4 μB per formula unit. The calculation puts the uncorrected energy at -203.22 eV for the cell shown. The calculation puts the formation energy without anion corrections at -443 meV per atom.

It has space group P4/mbm (No. 127), with a = 9.916 Å, b = 9.916 Å, c = 3.474 Å, α = 90.00°, β = 90.00° and γ = 90.00°. The distinct sites, in fractional coordinates, are Pu at (0.171, 0.329, 0.000), U at (0.000, 0.000, 0.000), Si at (0.125, 0.625, 0.000), Ru at (0.000, 0.500, 0.500) and Ru at (0.070, 0.791, 0.500).

=====

Entry from the Alexandria database: Pu2VSi2Ru5 after structural relaxation (PBE).

The volume comes out at 319.2 Å³/cell. For the spin magnetization, the calculation gives 9.5 μB per formula unit. The calculation puts the uncorrected energy at -197.60 eV for the cell shown. The calculation puts the formation energy without anion corrections at -379 meV per atom.

It has space group P4/mbm (No. 127), with a = 10.101 Å, b = 10.101 Å, c = 3.129 Å, α = 90.00°, β = 90.00° and γ = 90.00°. The distinct sites, in fractional coordinates, are Pu at (0.174, 0.326, 0.000), V at (0.000, 0.000, 0.000), Si at (0.129, 0.629, 0.000), Ru at (0.000, 0.500, 0.500) and Ru at (0.062, 0.798, 0.500).

=====

Entry from the Alexandria database: Sm3PuRu2 after structural relaxation (PBE).

As for the formation energy: -4.1 kcal/mol of atoms. The volume comes out at 596.2 Å³/cell. For the spin magnetization, the calculation gives 5.1 μB per formula unit. The calculation puts the uncorrected energy at -192.42 eV for the cell shown.

It has space group Cmcm (No. 63), with a = 9.540 Å, b = 10.017 Å, c = 6.239 Å, α = 90.00°, β = 90.00° and γ = 90.00°. The distinct sites, in fractional coordinates, are Sm at (0.000, 0.074, 0.250), Sm at (0.177, 0.245, 0.750), Pu at (0.000, 0.431, 0.250) and Ru at (0.220, 0.500, 0.000).

=====

Entry from the Alexandria database: SmPuRu after structural relaxation (PBE).

As for the formation energy: -1.8 kcal/mol of atoms. The volume comes out at 140.9 Å³/cell. For the spin magnetization, the calculation gives 5.0 μB per formula unit. The calculation puts the uncorrected energy at -57.13 eV for the cell shown.

It has space group I4mm (No. 107), with a = 3.571 Å, b = 3.571 Å, c = 11.048 Å, α = 90.00°, β = 90.00° and γ = 90.00°. The distinct sites, in fractional coordinates, are Sm at (0.000, 0.000, 0.000), Pu at (0.000, 0.000, 0.713) and Ru at (0.000, 0.000, 0.314).

=====

Entry from the Alexandria database: Sm2PuRu after structural relaxation (PBE).

As for the formation energy: -3.9 kcal/mol of atoms. The volume comes out at 441.5 Å³/cell. For the spin magnetization, the calculation gives 5.7 μB per formula unit. The calculation puts the uncorrected energy at -134.92 eV for the cell shown.

It has space group Pnma (No. 62), with a = 7.212 Å, b = 9.636 Å, c = 6.354 Å, α = 90.00°, β = 90.00° and γ = 90.00°. The distinct sites, in fractional coordinates, are Sm at (0.172, 0.064, 0.176), Pu at (0.051, 0.250, 0.662) and Ru at (0.132, 0.750, 0.994).

=====

Entry from the Alexandria database: Sm2PuRu3 after structural relaxation (PBE).

As for the formation energy: 2.8 kcal/mol of atoms. The volume comes out at 259.9 Å³/cell. For the spin magnetization, the calculation gives 3.2 μB per formula unit. The calculation puts the uncorrected energy at -101.73 eV for the cell shown.

It has space group Immm (No. 71), with a = 3.327 Å, b = 5.628 Å, c = 13.881 Å, α = 90.00°, β = 90.00° and γ = 90.00°. The distinct sites, in fractional coordinates, are Sm at (0.000, 0.000, 0.168), Pu at (0.000, 0.000, 0.500), Ru at (0.000, 0.500, 0.147) and Ru at (0.000, 0.500, 0.500).

=====

Entry from the Alexandria database: Sm3Pu2Ru3 after structural relaxation (PBE).

As for the formation energy: -4.5 kcal/mol of atoms. The volume comes out at 757.8 Å³/cell. For the spin magnetization, the calculation gives 9.4 μB per formula unit. The calculation puts the uncorrected energy at -288.89 eV for the cell shown.

It has space group Cmcm (No. 63), with a = 4.075 Å, b = 12.459 Å, c = 14.925 Å, α = 90.00°, β = 90.00° and γ = 90.00°. The distinct sites, in fractional coordinates, are Sm at (0.000, 0.066, 0.123), Sm at (0.000, 0.366, 0.250), Pu at (0.000, 0.218, 0.586), Ru at (0.000, 0.306, 0.750) and Ru at (0.000, 0.400, 0.040).

=====

The highest spin magnetization belongs to which entry?
Pu2Si6TcRu

=====

Repeat the seventh record exactly.
Entry from the Alexandria database: Pu2VSi2Ru5 after structural relaxation (PBE).

The volume comes out at 319.2 Å³/cell. For the spin magnetization, the calculation gives 9.5 μB per formula unit. The calculation puts the uncorrected energy at -197.60 eV for the cell shown. The calculation puts the formation energy without anion corrections at -379 meV per atom.

It has space group P4/mbm (No. 127), with a = 10.101 Å, b = 10.101 Å, c = 3.129 Å, α = 90.00°, β = 90.00° and γ = 90.00°. The distinct sites, in fractional coordinates, are Pu at (0.174, 0.326, 0.000), V at (0.000, 0.000, 0.000), Si at (0.129, 0.629, 0.000), Ru at (0.000, 0.500, 0.500) and Ru at (0.062, 0.798, 0.500).